Density functional theory data (PBE with a Hubbard U) for a relaxed structure of CoP2F.

abc: 3.9604 3.9604 3.9604
angles: 60.00 60.00 60.00
Closest atoms and distances in Å follow each position.
Fractional coordinates of all 4 atoms:
F: 0.0000 0.0000 0.0000  8 P 2.43
Co: 0.5000 0.5000 0.5000  8 P 2.43
P: 0.2500 0.2500 0.2500  4 F 2.43, 4 Co 2.43
P: 0.7500 0.7500 0.7500  4 F 2.43, 4 Co 2.43

Computed properties:
As for the total magnetization: 0.00 μB per cell. As for the crystal system: cubic. Its total energy is -0.325 Ry/atom.